PrTmMnZn | GGA-PBE | optimized geometry

Geometry as extended XYZ:
```
4
Lattice="-1.860 -2.683 3.907 2.861 -0.789 4.138 -1.151 2.337 4.375" Properties=species:S:1:pos:R:3 pbc="T T T"
Tm -0.037 -0.284 3.105
Mn -0.075 -0.568 6.210
Zn 0.000 0.000 0.000
Pr -0.112 -0.851 9.315
```

Values from the calculation:
DOS(E_F) ... 1.363 states/eV per atom
Size of the total moment ... 0.744 μB per atom
ΔE_f ... -5 meV per atom